A plane-wave DFT calculation with PBE-GGA was carried out for Sm3RuPt after structural relaxation.

Symmetry ... P2_1/c, No. 14
ΔH_f (0 K) ... -0.606 eV/atom

```
Sm3RuPt
1.0
8.752 0.000 0.000
0.000 7.387 0.000
-2.492 0.000 7.973
Sm Ru Pt
12 4 4
Direct
0.044 0.007 0.214
0.044 0.493 0.714
0.280 0.656 0.103
0.280 0.844 0.603
0.354 0.189 0.998
0.354 0.311 0.498
0.646 0.689 0.502
0.646 0.811 0.002
0.720 0.156 0.397
0.720 0.344 0.897
0.956 0.507 0.286
0.956 0.993 0.786
0.064 0.184 0.527
0.064 0.316 0.027
0.936 0.684 0.973
0.936 0.816 0.473
0.407 0.534 0.813
0.407 0.966 0.313
0.593 0.034 0.687
0.593 0.466 0.187
```